Record 1
Here is an optimized crystal structure of Mg2Sb from Alexandria. Energies are from PBE.

Cell lengths 5.196, 5.196, 6.108 Å; angles 90.00, 90.00, 120.00 degrees
Element x y z (fractional)
Sb 0.333 0.667 0.750
Sb 0.667 0.333 0.250
Mg 0.000 0.000 0.500
Mg 0.000 0.000 0.000
Mg 0.667 0.333 0.750
Mg 0.333 0.667 0.250

DFT total energy	-2.63	eV/atom
crystal system	hexagonal
E_form (uncorrected)	-188	meV/atom
space-group type	P6_3/mmc (194)

---

Record 2
Here is an optimized crystal structure of TbFeCoGe2 from Alexandria. Energies are from PBE.

Cell lengths 4.009, 4.009, 5.732 Å; angles 110.47, 110.47, 90.00 degrees
Element x y z (fractional)
Co 0.750 0.250 0.500
Fe 0.250 0.750 0.500
Ge 0.631 0.631 0.262
Ge 0.369 0.369 0.738
Tb 0.000 0.000 0.000

DFT total energy	-6.44	eV/atom
energy of formation	-0.551	eV per atom
crystal system	tetragonal
space-group type	I-4m2 (119)